(1)
Here is crystalline TbFe2BiO6 at its relaxed geometry from Alexandria. Energies are from PBE with a Hubbard U.

a b c (Å): 5.6567 5.6567 5.6567
angles (deg): 58.95 58.95 58.95
Closest atoms and distances in Å follow each position.
Fractional coordinates of all 10 atoms:
Tb 0.0000 0.0000 0.0000  6 O 2.29-2.38
Fe 0.2742 0.2742 0.2742  6 O 1.98-2.15
Fe 0.7760 0.7760 0.7760  6 O 2.02-2.10
Bi 0.4993 0.4993 0.4993  6 O 2.38-2.40
O 0.0579 0.6340 0.4316  2 Fe 2.02-2.15
O 0.1144 0.5560 0.9501  2 Fe 1.98-2.10
O 0.4316 0.0579 0.6340  2 Fe 2.02-2.15
O 0.5560 0.9501 0.1144  2 Fe 1.98-2.10
O 0.6340 0.4316 0.0579  2 Fe 2.02-2.15
O 0.9501 0.1144 0.5560  2 Fe 1.98-2.10

Calculated values
DFT total energy in eV per atom: -6.861
Volume in Å³/atom: 12.5


(2)
Here is crystalline Tb2FeBiO6 at its relaxed geometry from Alexandria. Energies are from PBE with a Hubbard U.

a b c (Å): 5.3468 5.3468 5.4500
angles (deg): 90.00 90.00 90.00
Closest atoms and distances in Å follow each position.
Fractional coordinates of all 10 atoms:
Tb 0.0000 0.5000 0.0000  4 O 2.27
Tb 0.5000 0.0000 0.0000  4 O 2.27
Fe 0.0000 0.0000 0.6119  5 O 1.90-2.00
Bi 0.5000 0.5000 0.5697  5 O 2.26-2.28
O 0.0000 0.0000 0.2640  1 Fe 1.90
O 0.2383 0.2383 0.7709  1 Fe 2.00
O 0.2383 0.7617 0.7709  1 Fe 2.00
O 0.5000 0.5000 0.1509  1 Bi 2.28
O 0.7617 0.2383 0.7709  1 Fe 2.00
O 0.7617 0.7617 0.7709  1 Fe 2.00

Calculated values
DFT total energy in eV per atom: -7.040
Volume in Å³/atom: 15.6


(3)
Here is crystalline TbFeBi2O6 at its relaxed geometry from Alexandria. Energies are from PBE with a Hubbard U.

a b c (Å): 5.9735 5.9735 5.9735
angles (deg): 58.63 58.63 58.63
Closest atoms and distances in Å follow each position.
Fractional coordinates of all 10 atoms:
Tb 0.0000 0.0000 0.0000  6 O 2.21-2.37
Fe 0.5056 0.5056 0.5056  6 O 2.03-2.14
Bi 0.2181 0.2181 0.2181  6 O 2.35-2.46
Bi 0.7181 0.7181 0.7181  6 O 2.31-2.55
O 0.1816 0.3624 0.7855  1 Fe 2.03
O 0.3158 0.8496 0.6458  1 Fe 2.14, 1 Tb 2.21, 1 Bi 2.31
O 0.3624 0.7855 0.1816  1 Fe 2.03
O 0.6458 0.3158 0.8496  1 Fe 2.14, 1 Tb 2.21, 1 Bi 2.31
O 0.7855 0.1816 0.3624  1 Fe 2.03
O 0.8496 0.6458 0.3158  1 Fe 2.14, 1 Tb 2.21, 1 Bi 2.31

Calculated values
DFT total energy in eV per atom: -6.606
Volume in Å³/atom: 14.6